# 1
NbInW3: relaxed, PBE.

Lattice parameters (Å, degrees): 4.800 4.800 4.800 90.00 90.00 90.00
Space group Pm-3m (No. 221)
Inequivalent atoms, fractional coordinates:
Nb: 0.000 0.000 0.000 (multiplicity 1)
In: 0.500 0.500 0.500 (multiplicity 1)
W: 0.000 0.000 0.500 (multiplicity 3)

**Energy of formation**: 2.1373 eV/atom
**Calculated volume**: 110.6 Å³ per cell
**Energy**: -40.981 eV per formula unit
**Relative energy among the computed polymorphs**: 0 meV/atom

# 2
NbInW2: relaxed, PBE.

Lattice parameters (Å, degrees): 7.541 7.541 5.542 90.00 90.00 90.00
Space group I-42d (No. 122)
Inequivalent atoms, fractional coordinates:
Nb: 0.000 0.000 0.000 (multiplicity 4)
In: 0.000 0.000 0.500 (multiplicity 4)
W: 0.222 0.250 0.125 (multiplicity 8)

**Energy of formation**: 1.1284 eV/atom
**Calculated volume**: 315.1 Å³ per cell
**Energy**: -34.201 eV per formula unit

# 3
NbIn2W: relaxed, PBE.

Lattice parameters (Å, degrees): 6.713 6.713 6.713 90.00 90.00 90.00
Space group Fm-3m (No. 225)
Inequivalent atoms, fractional coordinates:
Nb: 0.000 0.000 0.000 (multiplicity 4)
In: 0.250 0.250 0.250 (multiplicity 8)
W: 0.000 0.000 0.500 (multiplicity 4)

**Energy of formation**: 0.6119 eV/atom
**Calculated volume**: 302.5 Å³ per cell
**Energy**: -26.052 eV per formula unit